Density functional theory data (PBE) for a geometry-optimized CsNa3Mo structure.

Geometry as extended XYZ:
```
5
Lattice="6.309 0.000 0.000 0.000 6.309 0.000 0.000 0.000 6.309" Properties=species:S:1:pos:R:3 pbc="T T T"
Cs 3.155 3.155 3.155
Na 0.000 3.155 0.000
Na 0.000 0.000 3.155
Na 3.155 0.000 0.000
Mo 0.000 0.000 0.000
```

**Magnetic moment**: 5.062 μB/f.u.
**Offset from the most stable computed form**: 0 meV per atom
**Calculated total energy**: -2.17 eV/atom
**Mass density**: 2.0 Mg/m³
**Crystal system**: cubic

Density functional theory data (PBE) for a geometry-optimized Y3AlN structure.

Geometry as extended XYZ:
```
10
Lattice="-0.061 4.013 5.398 -5.342 -4.030 -1.360 0.232 -6.597 1.409" Properties=species:S:1:pos:R:3 pbc="T T T"
Y -3.722 -7.282 1.953
Y -1.232 0.382 3.632
Y -4.002 -4.749 4.400
Y -3.561 -4.135 0.535
Y -1.443 -2.836 5.051
Y -0.871 -2.123 1.215
Al -3.861 -1.792 3.286
Al -1.093 -5.110 2.336
N -2.531 -2.218 -0.550
N -3.806 -6.416 -0.238
```

**Magnetic moment**: 0.562 μB/f.u.
**Calculated total energy**: -7.04 eV/atom
**Formation energy (no corrections)**: -750 meV/atom
**Mass density**: 4.5 Mg/m³
**Crystal system**: triclinic

Density functional theory data (PBE) for a geometry-optimized LiY2SbRu structure.

Geometry as extended XYZ:
```
5
Lattice="5.095 0.000 0.000 0.000 4.402 0.000 0.000 0.000 5.095" Properties=species:S:1:pos:R:3 pbc="T T T"
Y 0.000 0.000 2.548
Y 2.548 0.000 0.000
Sb 0.000 2.201 0.000
Li 0.000 0.000 0.000
Ru 2.548 2.201 2.548
```

**Magnetic moment**: 0.498 μB/f.u.
**Calculated total energy**: -5.28 eV/atom
**Formation energy (no corrections)**: 369 meV/atom
**Mass density**: 5.9 Mg/m³
**Crystal system**: tetragonal